No. 1
{
  "formula": "GdZrCuAg",
  "functional": "PBE",
  "state": "relaxed",
  "lattice": [[-4.318, -2.161, 1.000], [-0.166, -3.898, 3.015], [-1.995, 0.438, 4.488]],
  "species": ["Gd", "Zr", "Ag", "Cu"],
  "frac_coords": [[0.000, 0.000, 0.000], [0.500, 0.500, 0.500], [0.250, 0.250, 0.250], [0.750, 0.750, 0.750]],
  "delta_e_f_ev_per_atom": -0.052,
  "space_group": "F-43m, No. 216"
}

---

No. 2
{
  "formula": "NaZn2Cd2",
  "functional": "PBE",
  "state": "relaxed",
  "lattice": [[-7.885, -2.899, -0.661], [1.490, -2.229, -7.990], [0.887, -2.617, 0.895]],
  "species": ["Na", "Na", "Zn", "Zn", "Zn", "Zn", "Cd", "Cd", "Cd", "Cd"],
  "frac_coords": [[0.000, 0.000, 0.000], [0.500, 0.500, 0.000], [0.157, 0.657, 0.500], [0.657, 0.843, 0.500], [0.843, 0.343, 0.500], [0.343, 0.157, 0.500], [0.359, 0.859, 0.000], [0.859, 0.641, 0.000], [0.641, 0.141, 0.000], [0.141, 0.359, 0.000]],
  "relative_energy_mev_per_atom": 44,
  "delta_e_f_ev_per_atom": 0.006,
  "space_group": "P4/mbm, No. 127"
}

---

No. 3
{
  "formula": "Sm4HgOs",
  "functional": "PBE",
  "state": "relaxed",
  "lattice": [[0.636, 2.658, 5.713], [-8.709, -0.672, -3.126], [3.487, -6.867, 1.501]],
  "species": ["Sm", "Sm", "Sm", "Sm", "Sm", "Sm", "Sm", "Sm", "Hg", "Hg", "Os", "Os"],
  "frac_coords": [[0.112, 0.206, 0.843], [0.764, 0.723, 0.660], [0.231, 0.637, 0.843], [0.396, 0.937, 0.660], [0.604, 0.063, 0.340], [0.769, 0.363, 0.157], [0.236, 0.277, 0.340], [0.888, 0.794, 0.157], [0.376, 0.626, 0.252], [0.624, 0.374, 0.748], [0.249, 0.999, 0.999], [0.751, 0.001, 0.001]],
  "delta_e_f_ev_per_atom": -0.274,
  "space_group": "C2/c, No. 15"
}

---

No. 4
{
  "formula": "ZrPb2Br",
  "functional": "PBE",
  "state": "relaxed",
  "lattice": [[4.409, 0.000, 0.000], [0.000, 4.409, 0.000], [2.204, 2.204, 11.542]],
  "species": ["Pb", "Pb", "Pb", "Pb", "Br", "Br", "Zr", "Zr"],
  "frac_coords": [[0.637, 0.125, 0.250], [0.113, 0.625, 0.250], [0.375, 0.363, 0.750], [0.875, 0.887, 0.750], [0.500, 0.500, 0.000], [0.250, 0.750, 0.500], [0.000, 0.000, 0.000], [0.750, 0.250, 0.500]],
  "formation_energy_uncorrected_ev_per_atom": 0.211,
  "relative_energy_mev_per_atom": 553,
  "space_group": "I-42d, No. 122"
}

---

No. 5
{
  "formula": "KGa2Rh2",
  "functional": "PBE",
  "state": "relaxed",
  "lattice": [[-2.582, 5.799, 4.361], [-5.944, -4.345, 2.259], [1.561, -0.978, 2.225]],
  "species": ["K", "K", "Rh", "Rh", "Rh", "Rh", "Ga", "Ga", "Ga", "Ga"],
  "frac_coords": [[0.000, 0.000, 0.000], [0.500, 0.500, 0.000], [0.358, 0.858, 0.000], [0.858, 0.642, 0.000], [0.642, 0.142, 0.000], [0.142, 0.358, 0.000], [0.145, 0.645, 0.500], [0.645, 0.855, 0.500], [0.855, 0.355, 0.500], [0.355, 0.145, 0.500]],
  "relative_energy_mev_per_atom": 3,
  "delta_e_f_ev_per_atom": -0.311,
  "space_group": "P4/mbm, No. 127"
}

---

No. 6
{
  "formula": "ZrMn2Tc",
  "functional": "PBE",
  "state": "relaxed",
  "lattice": [[4.330, 0.000, 0.000], [0.000, 2.894, -0.024], [0.000, 0.920, 4.798]],
  "species": ["Mn", "Mn", "Tc", "Zr"],
  "frac_coords": [[0.000, 0.091, 0.996], [0.500, 0.198, 0.276], [0.000, 0.482, 0.453], [0.500, 0.729, 0.775]],
  "relative_energy_mev_per_atom": 124,
  "delta_e_f_ev_per_atom": 0.151,
  "space_group": "Pm, No. 6"
}

---

No. 7
{
  "formula": "Sr2SiSe",
  "functional": "PBE",
  "state": "relaxed",
  "lattice": [[-0.629, -8.183, -0.667], [7.289, -0.249, -3.822], [5.125, -4.635, 1.208]],
  "species": ["Sr", "Sr", "Sr", "Sr", "Si", "Si", "Se", "Se"],
  "frac_coords": [[0.638, 0.125, 0.250], [0.112, 0.625, 0.250], [0.375, 0.362, 0.750], [0.875, 0.888, 0.750], [0.500, 0.500, 0.000], [0.250, 0.750, 0.500], [0.000, 0.000, 0.000], [0.750, 0.250, 0.500]],
  "formation_energy_uncorrected_ev_per_atom": -0.647,
  "relative_energy_mev_per_atom": 283,
  "space_group": "I-42d, No. 122"
}

---

No. 8
{
  "formula": "ReHgTe2",
  "functional": "PBE",
  "state": "relaxed",
  "lattice": [[-5.460, -1.001, 0.000], [-1.149, -5.114, -1.828], [3.504, 1.972, 3.828]],
  "species": ["Hg", "Re", "Te", "Te"],
  "frac_coords": [[0.500, 0.500, 0.000], [0.750, 0.250, 0.500], [0.000, 0.000, 0.000], [0.250, 0.750, 0.500]],
  "formation_energy_uncorrected_ev_per_atom": 1.096,
  "relative_energy_mev_per_atom": 873,
  "space_group": "I-4m2, No. 119"
}

---

No. 9
{
  "formula": "YGa3CoPt",
  "functional": "PBE",
  "state": "relaxed",
  "lattice": [[-2.638, 4.519, -1.062], [-3.199, -0.137, 7.365], [5.683, 2.882, -1.856]],
  "species": ["Y", "Y", "Ga", "Ga", "Ga", "Ga", "Ga", "Ga", "Co", "Co", "Pt", "Pt"],
  "frac_coords": [[0.750, 0.294, 0.588], [0.250, 0.706, 0.412], [0.250, 0.171, 0.342], [0.000, 0.244, 0.000], [0.500, 0.756, 0.000], [0.500, 0.244, 0.000], [0.000, 0.756, 0.000], [0.750, 0.829, 0.658], [0.250, 0.950, 0.900], [0.750, 0.050, 0.100], [0.250, 0.411, 0.821], [0.750, 0.589, 0.179]],
  "delta_e_f_ev_per_atom": -0.428,
  "space_group": "Cmcm, No. 63"
}

---

No. 10
{
  "formula": "Tb3Ga8Ir3",
  "functional": "PBE",
  "state": "relaxed",
  "lattice": [[-5.697, -0.795, -5.835], [-5.894, -3.400, 4.564], [4.494, 6.522, -2.098]],
  "species": ["Tb", "Tb", "Tb", "Ga", "Ga", "Ga", "Ga", "Ga", "Ga", "Ga", "Ga", "Ir", "Ir", "Ir"],
  "frac_coords": [[0.500, 0.500, 0.000], [0.170, 0.170, 0.000], [0.830, 0.830, 0.000], [0.662, 0.377, 0.285], [0.338, 0.623, 0.715], [0.092, 0.377, 0.715], [0.908, 0.623, 0.285], [0.540, 0.170, 0.370], [0.460, 0.830, 0.630], [0.799, 0.170, 0.630], [0.201, 0.830, 0.370], [0.000, 0.500, 0.500], [0.221, 0.000, 0.221], [0.779, 0.000, 0.779]],
  "delta_e_f_ev_per_atom": -0.663,
  "space_group": "Immm, No. 71"
}

---

No. 11
{
  "formula": "Tb3Pm3Pr8",
  "functional": "PBE",
  "state": "relaxed",
  "lattice": [[5.760, 0.000, 0.000], [2.880, 9.069, -2.872], [2.880, -0.294, 9.509]],
  "species": ["Tb", "Tb", "Tb", "Pm", "Pm", "Pm", "Pr", "Pr", "Pr", "Pr", "Pr", "Pr", "Pr", "Pr"],
  "frac_coords": [[0.500, 0.000, 0.000], [0.000, 0.818, 0.182], [0.000, 0.182, 0.818], [0.500, 0.500, 0.500], [0.806, 0.194, 0.194], [0.194, 0.806, 0.806], [0.657, 0.118, 0.567], [0.343, 0.882, 0.433], [0.657, 0.567, 0.118], [0.343, 0.433, 0.882], [0.837, 0.767, 0.559], [0.163, 0.233, 0.441], [0.837, 0.559, 0.767], [0.163, 0.441, 0.233]],
  "relative_energy_mev_per_atom": 0,
  "delta_e_f_ev_per_atom": 0.109,
  "space_group": "Immm, No. 71"
}

---

No. 12
{
  "formula": "AgGeBr3",
  "functional": "PBE",
  "state": "relaxed",
  "lattice": [[6.391, 0.000, 3.325], [2.331, 5.951, 3.325], [0.020, 0.014, 7.767]],
  "species": ["Ag", "Ag", "Ge", "Ge", "Br", "Br", "Br", "Br", "Br", "Br"],
  "frac_coords": [[0.356, 0.356, 0.931], [0.644, 0.644, 0.069], [0.831, 0.831, 0.508], [0.169, 0.169, 0.492], [0.759, 0.438, 0.752], [0.051, 0.759, 0.752], [0.438, 0.051, 0.752], [0.241, 0.562, 0.248], [0.949, 0.241, 0.248], [0.562, 0.949, 0.248]],
  "formation_energy_uncorrected_ev_per_atom": -0.446,
  "relative_energy_mev_per_atom": 12,
  "space_group": "R-3, No. 148"
}

---

Computed values of uncorrected energy (unit: eV per atom) for the preceding records, in sequence: -7.45; -1.13; -5.34; -4.20; -4.68; -9.16; -3.71; -3.66; -5.21; -5.28; -4.63; -2.94.